Record 1
ScCo3P | PBE-GGA | optimized geometry

a = 4.144 Å, b = 4.144 Å, c = 4.144 Å
α = 90.00°, β = 90.00°, γ = 90.00°
Site moments in Bohr magnetons follow the coordinates.
Positions (direct):
Sc 0.500 0.500 0.500  -0.17
P 0.000 0.000 0.000  0.01
Co 0.000 0.500 0.000  0.73
Co 0.000 0.000 0.500  0.54
Co 0.500 0.000 0.000  0.97

Computed properties:
The energy of formation is -23.4 kJ per mole of atoms.


Record 2
BeCoW | PBE-GGA | optimized geometry

a = 3.230 Å, b = 6.016 Å, c = 10.289 Å
α = 89.48°, β = 90.00°, γ = 90.00°
Positions (direct):
W 0.750 0.529 0.386
W 0.250 0.976 0.711
W 0.750 0.024 0.289
W 0.750 0.647 0.077
W 0.250 0.471 0.614
W 0.250 0.353 0.923
Be 0.250 0.766 0.919
Be 0.750 0.276 0.750
Be 0.750 0.765 0.585
Be 0.750 0.234 0.081
Be 0.250 0.235 0.415
Be 0.250 0.724 0.250
Co 0.250 0.991 0.095
Co 0.250 0.858 0.455
Co 0.750 0.643 0.795
Co 0.750 0.142 0.545
Co 0.250 0.357 0.205
Co 0.750 0.009 0.905

Computed properties:
The energy of formation is -15.8 kJ per mole of atoms.


Record 3
In2HgCl | PBE-GGA | optimized geometry

a = 6.489 Å, b = 6.489 Å, c = 6.489 Å
α = 141.53°, β = 137.74°, γ = 58.46°
Positions (direct):
Cl 0.490 0.490 0.000
Hg 0.229 0.729 0.500
In 0.008 0.008 0.000
In 0.774 0.274 0.500

Computed properties:
Its formation energy (no corrections) is -297.6 meV per atom.


Record 4
ZrGaMo | PBE-GGA | optimized geometry

a = 3.466 Å, b = 3.466 Å, c = 5.077 Å
α = 109.96°, β = 109.96°, γ = 90.00°
Site moments in Bohr magnetons follow the coordinates.
Positions (direct):
Mo 0.940 0.940 0.881  0.17
Zr 0.616 0.616 0.231  0.06
Ga 0.294 0.294 0.588  0.01

Computed properties:
The energy of formation is -20.2 kJ per mole of atoms.


Record 5
MgSi2P | PBE-GGA | optimized geometry

a = 3.047 Å, b = 3.708 Å, c = 6.782 Å
α = 90.00°, β = 90.00°, γ = 90.00°
Positions (direct):
Mg 0.000 0.000 0.568
P 0.500 0.500 0.712
Si 0.000 0.000 0.176
Si 0.500 0.500 0.045

Computed properties:
Its formation energy (no corrections) is 48.8 meV per atom.


Record 6
Li7Cd2Pd3 | PBE-GGA | optimized geometry

a = 2.892 Å, b = 5.004 Å, c = 13.760 Å
α = 75.58°, β = 90.00°, γ = 90.00°
Positions (direct):
Li 0.500 0.903 0.827
Li 0.500 0.097 0.173
Li 0.500 0.771 0.499
Li 0.500 0.229 0.501
Li 0.000 0.000 0.000
Li 0.000 0.445 0.847
Li 0.000 0.555 0.153
Cd 0.500 0.616 0.321
Cd 0.500 0.384 0.679
Pd 0.000 0.892 0.659
Pd 0.000 0.108 0.341
Pd 0.500 0.500 0.000

Computed properties:
The energy of formation is -28.2 kJ per mole of atoms.